1.
VASP calculation (PBE) on a geometry-optimized ErAgIr structure.

total magnetic moment: 0.001 μB per atom
relative energy among the computed polymorphs: 0.000 eV per atom
total DFT energy (no corrections): -5.59 eV per atom
ΔE_f: -177 meV per atom

Cell lengths 4.582, 4.582, 4.582 Å; angles 60.00, 60.00, 60.00 degrees
Fractional coordinates of all 3 atoms:
Er: 0.000 0.000 0.000
Ag: 0.500 0.500 0.500
Ir: 0.750 0.750 0.750



2.
VASP calculation (PBE) on a geometry-optimized ErLu4AgIr2 structure.

total magnetic moment: 0.006 μB per atom
total DFT energy (no corrections): -5.87 eV per atom
ΔE_f: -475 meV per atom

Cell lengths 4.881, 4.881, 7.228 Å; angles 90.00, 90.00, 90.00 degrees
Fractional coordinates of all 8 atoms:
Er: 0.000 0.000 0.000
Lu: 0.000 0.500 0.266
Lu: 0.000 0.500 0.734
Lu: 0.500 0.000 0.266
Lu: 0.500 0.000 0.734
Ag: 0.500 0.500 0.500
Ir: 0.000 0.000 0.500
Ir: 0.500 0.500 0.000



3.
VASP calculation (PBE) on a geometry-optimized ErSi2AgIr structure.

total magnetic moment: 0.001 μB per atom
total DFT energy (no corrections): -6.01 eV per atom

Cell lengths 5.833, 5.833, 5.833 Å; angles 138.46, 138.46, 60.20 degrees
Fractional coordinates of all 5 atoms:
Er: 0.000 0.000 0.000
Si: 0.386 0.386 0.000
Si: 0.614 0.614 0.000
Ag: 0.250 0.750 0.500
Ir: 0.750 0.250 0.500



4.
VASP calculation (PBE) on a geometry-optimized Tb2ErTl3AgIr2 structure.

total magnetic moment: 0.002 μB per atom
total DFT energy (no corrections): -5.04 eV per atom

Cell lengths 3.803, 7.833, 7.833 Å; angles 119.82, 90.00, 90.00 degrees
Fractional coordinates of all 9 atoms:
Tb: 0.000 0.206 0.794
Tb: 0.000 0.794 0.206
Er: 0.000 0.617 0.617
Tl: 0.500 0.205 0.476
Tl: 0.500 0.476 0.205
Tl: 0.500 0.933 0.933
Ag: 0.000 0.206 0.206
Ir: 0.500 0.539 0.869
Ir: 0.500 0.869 0.539



5.
VASP calculation (PBE) on a geometry-optimized TbEr2Tl3AgIr2 structure.

total magnetic moment: 0.002 μB per atom
total DFT energy (no corrections): -5.03 eV per atom

Cell lengths 3.772, 7.841, 7.841 Å; angles 120.22, 90.00, 90.00 degrees
Fractional coordinates of all 9 atoms:
Tb: 0.000 0.000 0.000
Er: 0.000 0.410 0.821
Er: 0.000 0.821 0.410
Tl: 0.500 0.138 0.410
Tl: 0.500 0.410 0.138
Tl: 0.500 0.681 0.681
Ag: 0.000 0.410 0.410
Ir: 0.500 0.077 0.741
Ir: 0.500 0.741 0.077



6.
VASP calculation (PBE) on a geometry-optimized KErAg structure.

total magnetic moment: 0.000 μB per atom
relative energy among the computed polymorphs: 0.000 eV per atom
total DFT energy (no corrections): -2.12 eV per atom

Cell lengths 5.217, 5.217, 5.217 Å; angles 60.00, 60.00, 60.00 degrees
Fractional coordinates of all 3 atoms:
K: 0.000 0.000 0.000
Er: 0.750 0.750 0.750
Ag: 0.500 0.500 0.500



7.
VASP calculation (PBE) on a geometry-optimized ErLuAg structure.

total magnetic moment: 0.001 μB per atom
relative energy among the computed polymorphs: 0.000 eV per atom
total DFT energy (no corrections): -3.38 eV per atom
ΔE_f: 594 meV per atom

Cell lengths 4.851, 4.851, 4.851 Å; angles 60.00, 60.00, 60.00 degrees
Fractional coordinates of all 3 atoms:
Er: 0.000 0.000 0.000
Lu: 0.750 0.750 0.750
Ag: 0.500 0.500 0.500



8.
VASP calculation (PBE) on a geometry-optimized ErLu2Si4Ag4 structure.

total magnetic moment: 0.000 μB per atom
total DFT energy (no corrections): -4.70 eV per atom

Cell lengths 8.099, 8.099, 8.099 Å; angles 149.97, 129.06, 60.28 degrees
Fractional coordinates of all 11 atoms:
Er: 0.000 0.000 0.000
Lu: 0.376 0.876 0.500
Lu: 0.624 0.124 0.500
Si: 0.217 0.217 0.000
Si: 0.324 0.500 0.824
Si: 0.676 0.500 0.176
Si: 0.783 0.783 0.000
Ag: 0.031 0.331 0.700
Ag: 0.369 0.669 0.700
Ag: 0.631 0.331 0.300
Ag: 0.969 0.669 0.300



9.
VASP calculation (PBE) on a geometry-optimized Tb2ErMg3AgPt2 structure.

total magnetic moment: 0.002 μB per atom
total DFT energy (no corrections): -4.45 eV per atom

Cell lengths 4.021, 7.515, 7.515 Å; angles 119.79, 90.00, 90.00 degrees
Fractional coordinates of all 9 atoms:
Tb: 0.000 0.210 0.790
Tb: 0.000 0.790 0.210
Er: 0.000 0.371 0.371
Mg: 0.500 0.044 0.044
Mg: 0.500 0.537 0.789
Mg: 0.500 0.789 0.537
Ag: 0.000 0.788 0.788
Pt: 0.500 0.126 0.456
Pt: 0.500 0.456 0.126



10.
VASP calculation (PBE) on a geometry-optimized ErMgAgS3 structure.

total magnetic moment: 0.001 μB per atom
total DFT energy (no corrections): -4.71 eV per atom

Cell lengths 6.530, 6.530, 10.509 Å; angles 90.00, 90.00, 146.62 degrees
Fractional coordinates of all 12 atoms:
Er: 0.000 0.000 0.000
Er: 0.000 0.000 0.500
Mg: 0.235 0.765 0.750
Mg: 0.765 0.235 0.250
Ag: 0.482 0.518 0.250
Ag: 0.518 0.482 0.750
S: 0.120 0.880 0.250
S: 0.355 0.645 0.070
S: 0.355 0.645 0.430
S: 0.645 0.355 0.570
S: 0.645 0.355 0.930
S: 0.880 0.120 0.750



11.
VASP calculation (PBE) on a geometry-optimized ErMgAgSe2S structure.

total magnetic moment: 0.001 μB per atom
total DFT energy (no corrections): -4.43 eV per atom

Cell lengths 6.763, 6.763, 10.586 Å; angles 90.00, 90.00, 146.76 degrees
Fractional coordinates of all 12 atoms:
Er: 0.000 0.000 0.000
Er: 0.000 0.000 0.500
Mg: 0.246 0.754 0.750
Mg: 0.754 0.246 0.250
Ag: 0.485 0.515 0.250
Ag: 0.515 0.485 0.750
Se: 0.350 0.650 0.069
Se: 0.350 0.650 0.431
Se: 0.650 0.350 0.569
Se: 0.650 0.350 0.931
S: 0.114 0.886 0.250
S: 0.886 0.114 0.750



12.
VASP calculation (PBE) on a geometry-optimized ErMgAgTeS2 structure.

total magnetic moment: 0.001 μB per atom
total DFT energy (no corrections): -4.41 eV per atom

Cell lengths 7.045, 7.045, 10.907 Å; angles 90.00, 90.00, 148.26 degrees
Fractional coordinates of all 12 atoms:
Er: 0.000 0.000 0.000
Er: 0.000 0.000 0.500
Mg: 0.193 0.807 0.750
Mg: 0.807 0.193 0.250
Ag: 0.492 0.508 0.250
Ag: 0.508 0.492 0.750
Te: 0.138 0.862 0.250
Te: 0.862 0.138 0.750
S: 0.371 0.629 0.077
S: 0.371 0.629 0.423
S: 0.629 0.371 0.577
S: 0.629 0.371 0.923